(1)
# NbFeAs2 GGA-PBE relaxed
# Formation energy (meV per atom): 275.3
# Magnetization (μB per formula unit): 3.1
# Space-group type: I-42d (122)
data_NbFeAs2
_space_group_name_H-M_alt 'P 1'
_space_group_IT_number 1
_space_group_name_Hall 'P 1'
_cell_length_a 5.6707
_cell_length_b 5.6707
_cell_length_c 6.9060
_cell_angle_alpha 65.76
_cell_angle_beta 65.76
_cell_angle_gamma 90.00
loop_
_atom_site_label
_atom_site_type_symbol
_atom_site_fract_x
_atom_site_fract_y
_atom_site_fract_z
Nb1 Nb 0.0000 0.0000 0.0000
Nb2 Nb 0.7500 0.2500 0.5000
As1 As 0.6034 0.1250 0.2500
As2 As 0.1466 0.6250 0.2500
As3 As 0.3750 0.3966 0.7500
As4 As 0.8750 0.8534 0.7500
Fe1 Fe 0.5000 0.5000 0.0000
Fe2 Fe 0.2500 0.7500 0.5000

=====

(2)
# Nb3FeAs GGA-PBE relaxed
# Formation energy (meV per atom): 1151.5
# Magnetization (μB per formula unit): 0.0
# Space-group type: Pm-3m (221)
data_Nb3FeAs
_space_group_name_H-M_alt 'P 1'
_space_group_IT_number 1
_space_group_name_Hall 'P 1'
_cell_length_a 4.6962
_cell_length_b 4.6962
_cell_length_c 4.6962
_cell_angle_alpha 90.00
_cell_angle_beta 90.00
_cell_angle_gamma 90.00
loop_
_atom_site_label
_atom_site_type_symbol
_atom_site_fract_x
_atom_site_fract_y
_atom_site_fract_z
Nb1 Nb 0.0000 0.5000 0.0000
Nb2 Nb 0.0000 0.0000 0.5000
Nb3 Nb 0.5000 0.0000 0.0000
As1 As 0.0000 0.0000 0.0000
Fe1 Fe 0.5000 0.5000 0.5000

=====

(3)
# NbFeAs2 GGA-PBE relaxed
# Formation energy (meV per atom): -21.1
# Magnetization (μB per formula unit): 0.7
# Space-group type: R-3m (166)
data_NbFeAs2
_space_group_name_H-M_alt 'P 1'
_space_group_IT_number 1
_space_group_name_Hall 'P 1'
_cell_length_a 3.6891
_cell_length_b 3.6891
_cell_length_c 5.8379
_cell_angle_alpha 71.58
_cell_angle_beta 71.58
_cell_angle_gamma 60.00
loop_
_atom_site_label
_atom_site_type_symbol
_atom_site_fract_x
_atom_site_fract_y
_atom_site_fract_z
Nb1 Nb 0.5000 0.5000 0.5000
As1 As 0.2641 0.2641 0.2076
As2 As 0.7359 0.7359 0.7924
Fe1 Fe 0.0000 0.0000 0.0000

=====

(4)
# RbNbFeAs2 GGA-PBE relaxed
# Formation energy (meV per atom): 2515.7
# Magnetization (μB per formula unit): 0.0
# Space-group type: P4/mmm (123)
data_RbNbFeAs2
_space_group_name_H-M_alt 'P 1'
_space_group_IT_number 1
_space_group_name_Hall 'P 1'
_cell_length_a 5.2444
_cell_length_b 5.2444
_cell_length_c 4.3281
_cell_angle_alpha 90.00
_cell_angle_beta 90.00
_cell_angle_gamma 90.00
loop_
_atom_site_label
_atom_site_type_symbol
_atom_site_fract_x
_atom_site_fract_y
_atom_site_fract_z
Nb1 Nb 0.5000 0.5000 0.5000
As1 As 0.0000 0.5000 0.0000
As2 As 0.5000 0.0000 0.0000
Rb1 Rb 0.0000 0.0000 0.0000
Fe1 Fe 0.0000 0.0000 0.5000

=====

(5)
# ScNbFe2As GGA-PBE relaxed
# Formation energy (meV per atom): 674.2
# Magnetization (μB per formula unit): 0.0
# Space-group type: P4/mmm (123)
data_ScNbFe2As
_space_group_name_H-M_alt 'P 1'
_space_group_IT_number 1
_space_group_name_Hall 'P 1'
_cell_length_a 4.2653
_cell_length_b 4.8148
_cell_length_c 4.2653
_cell_angle_alpha 90.00
_cell_angle_beta 90.00
_cell_angle_gamma 90.00
loop_
_atom_site_label
_atom_site_type_symbol
_atom_site_fract_x
_atom_site_fract_y
_atom_site_fract_z
Sc1 Sc 0.0000 0.5000 0.0000
Nb1 Nb 0.5000 0.5000 0.5000
As1 As 0.0000 0.0000 0.0000
Fe1 Fe 0.0000 0.0000 0.5000
Fe2 Fe 0.5000 0.0000 0.0000

=====

(6)
# NbFeAs2Se GGA-PBE relaxed
# Magnetization (μB per formula unit): 3.1
# Space-group type: P4/mmm (123)
# Energy relative to the elements, uncorrected (eV/atom): 0.56
data_NbFeAs2Se
_space_group_name_H-M_alt 'P 1'
_space_group_IT_number 1
_space_group_name_Hall 'P 1'
_cell_length_a 4.4057
_cell_length_b 4.4057
_cell_length_c 5.0673
_cell_angle_alpha 90.00
_cell_angle_beta 90.00
_cell_angle_gamma 90.00
loop_
_atom_site_label
_atom_site_type_symbol
_atom_site_fract_x
_atom_site_fract_y
_atom_site_fract_z
Nb1 Nb 0.5000 0.5000 0.5000
As1 As 0.0000 0.5000 0.0000
As2 As 0.5000 0.0000 0.0000
Se1 Se 0.0000 0.0000 0.5000
Fe1 Fe 0.0000 0.0000 0.0000

=====

(7)
# NbFeAs2Se GGA-PBE relaxed
# Magnetization (μB per formula unit): 3.5
# Space-group type: P4/mmm (123)
# Energy relative to the elements, uncorrected (eV/atom): 0.67
data_NbFeAs2Se
_space_group_name_H-M_alt 'P 1'
_space_group_IT_number 1
_space_group_name_Hall 'P 1'
_cell_length_a 5.0181
_cell_length_b 5.0181
_cell_length_c 4.9621
_cell_angle_alpha 90.00
_cell_angle_beta 90.00
_cell_angle_gamma 90.00
loop_
_atom_site_label
_atom_site_type_symbol
_atom_site_fract_x
_atom_site_fract_y
_atom_site_fract_z
Nb1 Nb 0.0000 0.0000 0.0000
As1 As 0.0000 0.5000 0.0000
As2 As 0.5000 0.0000 0.0000
Se1 Se 0.0000 0.0000 0.5000
Fe1 Fe 0.5000 0.5000 0.5000

=====

(8)
# TaNbFe2As GGA-PBE relaxed
# Formation energy (meV per atom): 1338.2
# Magnetization (μB per formula unit): 2.2
# Space-group type: P4/mmm (123)
data_TaNbFe2As
_space_group_name_H-M_alt 'P 1'
_space_group_IT_number 1
_space_group_name_Hall 'P 1'
_cell_length_a 4.4308
_cell_length_b 4.8015
_cell_length_c 4.4308
_cell_angle_alpha 90.00
_cell_angle_beta 90.00
_cell_angle_gamma 90.00
loop_
_atom_site_label
_atom_site_type_symbol
_atom_site_fract_x
_atom_site_fract_y
_atom_site_fract_z
Fe1 Fe 0.0000 0.0000 0.5000
Fe2 Fe 0.5000 0.0000 0.0000
Nb1 Nb 0.0000 0.0000 0.0000
As1 As 0.0000 0.5000 0.0000
Ta1 Ta 0.5000 0.5000 0.5000

=====

- What is the magnetization in the fifth record?
  0.0 μB per formula unit

=====

What did the third record say?
# NbFeAs2 GGA-PBE relaxed
# Formation energy (meV per atom): -21.1
# Magnetization (μB per formula unit): 0.7
# Space-group type: R-3m (166)
data_NbFeAs2
_space_group_name_H-M_alt 'P 1'
_space_group_IT_number 1
_space_group_name_Hall 'P 1'
_cell_length_a 3.6891
_cell_length_b 3.6891
_cell_length_c 5.8379
_cell_angle_alpha 71.58
_cell_angle_beta 71.58
_cell_angle_gamma 60.00
loop_
_atom_site_label
_atom_site_type_symbol
_atom_site_fract_x
_atom_site_fract_y
_atom_site_fract_z
Nb1 Nb 0.5000 0.5000 0.5000
As1 As 0.2641 0.2641 0.2076
As2 As 0.7359 0.7359 0.7924
Fe1 Fe 0.0000 0.0000 0.0000

=====

- What is the formula in the seventh record?
  NbFeAs2Se